The following is a PBE calculation of MgSn2Pt2 after structural relaxation, from Alexandria.

Values from the calculation:
- polymorph energy (0 for the lowest one) (meV/atom) = 186.2
- Fermi-level density of states (states/eV per cell) = 5.22
- V (A^3/atom) = 20.2
- calculated formation energy (eV/f.u.) = -2.178

a = 7.2203 Å, b = 7.2203 Å, c = 3.8655 Å
α = 90.00°, β = 90.00°, γ = 90.00°
With the nearest neighbours (Å) after each atom.
Space group P4/mbm (No. 127)
Asymmetric unit:
Mg: 0.0000 0.0000 0.0000 x2  4 Pt 2.78
Sn: 0.1626 0.3374 0.5000 x4  6 Pt 2.77-2.93
Pt: 0.1425 0.6425 0.0000 x4  6 Sn 2.77-2.93, 2 Mg 2.78, 1 Pt 2.91

***

The following is a PBE calculation of Mg2SnPt5 after structural relaxation, from Alexandria.

Values from the calculation:
- Fermi-level density of states (states/eV per cell) = 3.18
- V (A^3/atom) = 16.2
- calculated formation energy (eV/f.u.) = -5.746

a = 5.6419 Å, b = 11.1293 Å, c = 4.1331 Å
α = 90.00°, β = 90.00°, γ = 90.00°
With the nearest neighbours (Å) after each atom.
Space group Pbam (No. 55)
Asymmetric unit:
Mg: 0.1975 0.1397 0.0000 x4  10 Pt 2.71-2.95
Sn: 0.0000 0.5000 0.5000 x2  8 Pt 2.73-2.82
Pt: 0.0000 0.0000 0.5000 x2  4 Mg 2.82, 2 Sn 2.82, 6 Pt 2.83-2.91
Pt: 0.0437 0.7464 0.5000 x4  1 Sn 2.75, 4 Mg 2.78-2.80, 7 Pt 2.82-2.93
Pt: 0.2189 0.3843 0.0000 x4  4 Mg 2.71-2.95, 2 Sn 2.73, 6 Pt 2.90-2.93

***

> Which value of V does entry 1 give?

20.2 A^3/atom